MgPOs2 after structural relaxation. Source: the Alexandria database, functional PBE-GGA.

Values from the calculation:
N(E_F) ... 2.23 states/eV per cell
Total DFT energy (no corrections) ... -7.154 eV per atom
Polymorph energy (0 for the lowest one) ... 0.625 eV/f.u.
Mass density ... 13.4 g/cm3
Energy of formation from the pure elements ... 0.212 eV per atom
Magnetic moment ... 0.00 μB/atom

```
4
Lattice="0.000 2.998 2.998 2.998 0.000 2.998 2.998 2.998 0.000" Properties=species:S:1:pos:R:3 pbc="T T T"
Mg 0.000 0.000 0.000
P 2.998 2.998 2.998
Os 1.499 1.499 1.499
Os 4.497 4.497 4.497
```

***

MgPOs after structural relaxation. Source: the Alexandria database, functional PBE-GGA.

Values from the calculation:
N(E_F) ... 1.18 states/eV per cell
Total DFT energy (no corrections) ... -6.287 eV per atom
Mass density ... 8.7 g/cm3
Energy of formation from the pure elements ... -0.209 eV per atom
Magnetic moment ... 0.00 μB/atom

```
3
Lattice="4.006 0.000 0.000 -2.003 3.469 0.000 0.000 0.000 3.373" Properties=species:S:1:pos:R:3 pbc="T T T"
Mg 0.000 0.000 0.000
P 0.000 2.313 1.687
Os 2.003 1.156 1.687
```

***

MgP2Os after structural relaxation. Source: the Alexandria database, functional PBE-GGA.

Values from the calculation:
N(E_F) ... 3.34 states/eV per cell
Total DFT energy (no corrections) ... -5.784 eV per atom
Mass density ... 7.4 g/cm3
Energy of formation from the pure elements ... 0.127 eV per atom
Magnetic moment ... 0.00 μB/atom

```
4
Lattice="3.924 0.000 0.000 0.000 3.039 0.000 -0.036 0.000 5.226" Properties=species:S:1:pos:R:3 pbc="T T T"
Mg 0.000 0.000 0.000
P -0.018 0.000 2.613
P 1.962 1.519 0.000
Os 1.944 1.519 2.613
```

***

Which value of mass density does entry 1 give? 13.4 g/cm3

***

Which formula does entry 1 have? MgPOs2

***

Which of these has the lowest mass density? MgP2Os

***

Which of these has the lowest N(E_F)? MgPOs